Ac2NpVO8 | PBE+U | optimized geometry

Lattice parameters (Å, degrees): 4.348 5.562 8.046 80.40 93.40 99.19
Last column: magnetic moment on the atom in μB.
Fractional positions:
Ac 0.477 0.539 0.742  -0.01
Ac 0.523 0.461 0.258  -0.01
Np 0.000 0.000 0.000  1.20
V 0.000 0.000 0.500  1.04
O 0.078 0.723 0.175  -0.04
O 0.592 0.785 0.979  -0.04
O 0.963 0.171 0.275  -0.05
O 0.922 0.277 0.825  -0.04
O 0.408 0.215 0.021  -0.04
O 0.037 0.829 0.725  -0.05
O 0.662 0.764 0.464  -0.04
O 0.338 0.236 0.536  -0.04

Summary:
* calculated total energy: -8.4716 eV/atom